Below is an optimized crystal structure of NaMgP2Cl, with properties calculated at the PBE level.

Computed properties:
V	124.24	Å³/cell
space-group type	No. 123
ΔE_f (raw)	0.6420	eV per atom
uncorrected energy	-12.4	eV for the cell shown
polymorph energy (0 for the lowest one)	632	meV per atom

Cell lengths 4.979, 4.979, 5.012 Å; angles 90.00, 90.00, 90.00 degrees
Last column: magnetic moment on the atom in μB.
Positions (direct):
P (0.000, 0.500, 0.000)  0.28
P (0.500, 0.000, 0.000)  0.28
Mg (0.500, 0.500, 0.500)  -0.02
Na (0.000, 0.000, 0.000)  0.01
Cl (0.000, 0.000, 0.500)  0.15

Below is an optimized crystal structure of Zn2Sn2B, with properties calculated at the PBE level.

Computed properties:
V	209.74	Å³/cell
space-group type	No. 127
uncorrected energy	-30.0	eV for the cell shown
polymorph energy (0 for the lowest one)	0	meV per atom

Cell lengths 5.902, 5.902, 6.021 Å; angles 90.00, 90.00, 90.00 degrees
Positions (direct):
Zn (0.248, 0.748, 0.000)
Zn (0.748, 0.752, 0.000)
Zn (0.752, 0.252, 0.000)
Zn (0.252, 0.248, 0.000)
B (0.000, 0.000, 0.000)
B (0.500, 0.500, 0.000)
Sn (0.231, 0.731, 0.500)
Sn (0.731, 0.769, 0.500)
Sn (0.769, 0.269, 0.500)
Sn (0.269, 0.231, 0.500)

Below is an optimized crystal structure of TlC, with properties calculated at the PBE level.

Computed properties:
V	105.75	Å³/cell
space-group type	No. 189
uncorrected energy	-21.6	eV for the cell shown
polymorph energy (0 for the lowest one)	1418	meV per atom

Cell lengths 5.996, 5.996, 3.397 Å; angles 90.00, 90.00, 120.00 degrees
Positions (direct):
Tl (0.000, 0.000, 0.000)
Tl (0.667, 0.333, 0.500)
Tl (0.333, 0.667, 0.500)
C (0.000, 0.388, 0.000)
C (0.612, 0.612, 0.000)
C (0.388, 0.000, 0.000)

Below is an optimized crystal structure of FeB2Mo, with properties calculated at the PBE level.

Computed properties:
V	37.66	Å³/cell
space-group type	No. 166
uncorrected energy	-33.3	eV for the cell shown
polymorph energy (0 for the lowest one)	217	meV per atom

Cell lengths 3.331, 3.331, 4.366 Å; angles 67.58, 67.58, 60.00 degrees
Positions (direct):
Mo (0.500, 0.500, 0.500)
B (0.286, 0.286, 0.142)
B (0.714, 0.714, 0.858)
Fe (0.000, 0.000, 0.000)

What did the first record say?
Below is an optimized crystal structure of NaMgP2Cl, with properties calculated at the PBE level.

Computed properties:
V	124.24	Å³/cell
space-group type	No. 123
ΔE_f (raw)	0.6420	eV per atom
uncorrected energy	-12.4	eV for the cell shown
polymorph energy (0 for the lowest one)	632	meV per atom

Cell lengths 4.979, 4.979, 5.012 Å; angles 90.00, 90.00, 90.00 degrees
Last column: magnetic moment on the atom in μB.
Positions (direct):
P (0.000, 0.500, 0.000)  0.28
P (0.500, 0.000, 0.000)  0.28
Mg (0.500, 0.500, 0.500)  -0.02
Na (0.000, 0.000, 0.000)  0.01
Cl (0.000, 0.000, 0.500)  0.15

- Look up the V of the first one.
  124.24 Å³/cell